# Cd2IrSe | Alexandria | meta-GGA SCAN | PBEsol geometry
data_Cd2IrSe
_chemical_formula_sum 'Cd2 Ir1 Se1'
_space_group_name_H-M_alt 'P 4 m m'
_space_group_IT_number 99
_cell_length_a 3.003
_cell_length_b 3.003
_cell_length_c 8.309
_cell_angle_alpha 90.00
_cell_angle_beta 90.00
_cell_angle_gamma 90.00
loop_
_space_group_symop_operation_xyz
'x,y,z'
'-y,x,z'
'-x,-y,z'
'y,-x,z'
'-x,y,z'
'y,x,z'
'x,-y,z'
'-y,-x,z'
loop_
_atom_site_label
_atom_site_type_symbol
_atom_site_fract_x
_atom_site_fract_y
_atom_site_fract_z
_atom_site_occupancy
Cd1 Cd 0.000 0.000 0.000 1
Cd2 Cd 0.500 0.500 0.278 1
Ir1 Ir 0.000 0.000 0.519 1
Se1 Se 0.500 0.500 0.693 1
# Uncorrected formation energy   211 meV per atom